(1)
Density functional theory data (GGA-PBEsol) for a relaxed RbZr2Rh crystal.

As for the final energy: -98.85 eV for the cell shown. For the formation enthalpy at 0 K, the calculation gives 0.66 eV per atom.

The structure belongs to space group Fm-3m (No. 225); the cell edges are 6.882, 6.882 and 6.882 Å and the angles 90.00°, 90.00° and 90.00°. The inequivalent atoms are Rb at (0.000, 0.000, 0.000), Zr at (0.250, 0.250, 0.250) and Rh at (0.000, 0.000, 0.500).

(2)
Density functional theory data (GGA-PBEsol) for a relaxed B2MoWF crystal.

As for the final energy: -37.17 eV for the cell shown.

The structure belongs to space group P4/mmm (No. 123); the cell edges are 4.155, 4.155 and 3.807 Å and the angles 90.00°, 90.00° and 90.00°. The inequivalent atoms are B at (0.000, 0.500, 0.000), Mo at (0.000, 0.000, 0.500), W at (0.500, 0.500, 0.000) and F at (0.500, 0.500, 0.500).

(3)
Density functional theory data (GGA-PBEsol) for a relaxed MnCoB3 crystal.

As for the final energy: -33.46 eV for the cell shown. For the formation enthalpy at 0 K, the calculation gives 1.02 eV per atom.

The structure belongs to space group Pm-3m (No. 221); the cell edges are 3.683, 3.683 and 3.683 Å and the angles 90.00°, 90.00° and 90.00°. The inequivalent atoms are Mn at (0.000, 0.000, 0.000), Co at (0.500, 0.500, 0.500) and B at (0.000, 0.000, 0.500).

(4)
Density functional theory data (GGA-PBEsol) for a relaxed CrGeN3 crystal.

As for the final energy: -37.59 eV for the cell shown.

The structure belongs to space group Pm-3m (No. 221); the cell edges are 3.720, 3.720 and 3.720 Å and the angles 90.00°, 90.00° and 90.00°. The inequivalent atoms are Cr at (0.000, 0.000, 0.000), Ge at (0.500, 0.500, 0.500) and N at (0.000, 0.000, 0.500).

(5)
Density functional theory data (GGA-PBEsol) for a relaxed CsMgAg2Br crystal.

As for the final energy: -9.26 eV for the cell shown.

The structure belongs to space group P4/mmm (No. 123); the cell edges are 5.414, 5.414 and 6.446 Å and the angles 90.00°, 90.00° and 90.00°. The inequivalent atoms are Cs at (0.000, 0.000, 0.000), Mg at (0.500, 0.500, 0.000), Ag at (0.000, 0.500, 0.500) and Br at (0.000, 0.000, 0.500).

(6)
Density functional theory data (GGA-PBEsol) for a relaxed Lu2AlCo3 crystal.

As for the final energy: -118.29 eV for the cell shown. For the formation enthalpy at 0 K, the calculation gives -0.40 eV per atom.

The structure belongs to space group R-3m (No. 166, hexagonal axes); the cell edges are 5.1600, 5.1600 and 11.4260 Å and the angles 90.00°, 90.00° and 120.00°. The inequivalent atoms are Lu at (0.0000, 0.0000, 0.1278), Al at (0.0000, 0.0000, 0.5000) and Co at (0.0000, 0.5000, 0.0000).

(7)
Density functional theory data (GGA-PBEsol) for a relaxed K2ZnGe2O6 crystal.

As for the final energy: -257.98 eV for the cell shown.

The structure belongs to space group C222_1 (No. 20); the cell edges are 6.399, 9.810 and 10.793 Å and the angles 90.00°, 90.00° and 90.00°. The inequivalent atoms are K at (0.108, 0.173, 0.078), Zn at (0.000, 0.204, 0.750), Ge at (0.160, 0.493, 0.860), O at (0.000, 0.421, 0.250), O at (0.005, 0.500, 0.000), O at (0.120, 0.095, 0.617) and O at (0.216, 0.326, 0.819).

(8)
Density functional theory data (GGA-PBEsol) for a relaxed CoHgPt crystal.

As for the final energy: -56.33 eV for the cell shown. For the formation enthalpy at 0 K, the calculation gives 0.39 eV per atom.

The structure belongs to space group F-43m (No. 216); the cell edges are 5.885, 5.885 and 5.885 Å and the angles 90.00°, 90.00° and 90.00°. The inequivalent atoms are Co at (0.000, 0.000, 0.000), Hg at (0.250, 0.250, 0.750) and Pt at (0.250, 0.250, 0.250).

> Which of these has the lowest final energy?

K2ZnGe2O6

> What is the final energy in the sixth record?

-118.29 eV for the cell shown

> Look up the final energy of the third one.

-33.46 eV for the cell shown

> The lowest final energy belongs to which entry?

K2ZnGe2O6